First-principles (PBE) data for crystalline MnZn2Re at its relaxed geometry, as listed in Alexandria.

As for the magnetic moment: 1.93 μB per formula unit. Its density of states at the Fermi level is 2.2 states/eV/f.u. Its energy above the most stable polymorph in this dataset is 46 kJ/mol of formula units. The formation energy from the elements is 174 meV/atom. The crystal system is monoclinic. As for the space group: No. 8.

Cell and atoms, written as POSCAR:
```
MnZn2Re
1.0
4.384 -1.317 0.000
4.384 1.317 0.000
-0.577 0.000 4.784
Mn Zn Re
1 2 1
direct
0.000 0.000 0.000
0.499 0.499 0.506
0.747 0.747 0.288
0.250 0.250 0.797
```